Entry 1:
# TlCd2As PBE optimized geometry
data_TlCd2As
_chemical_formula_sum 'Tl1 Cd2 As1'
_cell_length_a 5.1961
_cell_length_b 5.1961
_cell_length_c 5.1961
_cell_angle_alpha 60.00
_cell_angle_beta 60.00
_cell_angle_gamma 60.00
_space_group_name_H-M_alt 'P 1'
_space_group_IT_number 1
loop_
_space_group_symop_operation_xyz
'x,y,z'
loop_
_atom_site_label
_atom_site_fract_x
_atom_site_fract_y
_atom_site_fract_z
Tl1 0.7500 0.7500 0.7500
As1 0.5000 0.5000 0.5000
Cd1 0.0000 0.0000 0.0000
Cd2 0.2500 0.2500 0.2500
# Energy above the lowest structure with this stoichiometry, meV per atom: 123
# Calculated formation energy, meV per atom: 136
# Symmetry: F-43m

***

Entry 2:
# HoErS2O PBE optimized geometry
data_HoErS2O
_chemical_formula_sum 'Ho2 Er2 S4 O2'
_cell_length_a 3.8347
_cell_length_b 3.8347
_cell_length_c 13.8006
_cell_angle_alpha 90.00
_cell_angle_beta 90.00
_cell_angle_gamma 90.00
_space_group_name_H-M_alt 'P 1'
_space_group_IT_number 1
loop_
_space_group_symop_operation_xyz
'x,y,z'
loop_
_atom_site_label
_atom_site_fract_x
_atom_site_fract_y
_atom_site_fract_z
Ho1 0.5000 0.0000 0.5820
Ho2 0.0000 0.5000 0.4180
Er1 0.5000 0.0000 0.1254
Er2 0.0000 0.5000 0.8746
S1 0.0000 0.5000 0.6949
S2 0.0000 0.5000 0.0897
S3 0.5000 0.0000 0.9103
S4 0.5000 0.0000 0.3051
O1 0.0000 0.0000 0.5000
O2 0.5000 0.5000 0.5000
# Symmetry: P4/nmm

***

Entry 3:
# LaTb2Y6Ho PBE optimized geometry
data_LaTb2Y6Ho
_chemical_formula_sum 'La2 Tb4 Y12 Ho2'
_cell_length_a 9.6155
_cell_length_b 8.8304
_cell_length_c 8.8304
_cell_angle_alpha 117.36
_cell_angle_beta 93.62
_cell_angle_gamma 93.62
_space_group_name_H-M_alt 'P 1'
_space_group_IT_number 1
loop_
_space_group_symop_operation_xyz
'x,y,z'
loop_
_atom_site_label
_atom_site_fract_x
_atom_site_fract_y
_atom_site_fract_z
La1 0.2500 0.9730 0.0270
La2 0.7500 0.0270 0.9730
Tb1 0.4503 0.8020 0.6987
Tb2 0.0497 0.3013 0.1980
Tb3 0.5497 0.1980 0.3013
Tb4 0.9503 0.6987 0.8020
Y1 0.0577 0.1224 0.7495
Y2 0.4423 0.2505 0.8776
Y3 0.9423 0.8776 0.2505
Y4 0.5577 0.7495 0.1224
Y5 0.3181 0.9857 0.4374
Y6 0.1819 0.5626 0.0143
Y7 0.6819 0.0143 0.5626
Y8 0.8181 0.4374 0.9857
Y9 0.1154 0.7058 0.4888
Y10 0.3846 0.5112 0.2942
Y11 0.8846 0.2942 0.5112
Y12 0.6154 0.4888 0.7058
Ho1 0.2500 0.4099 0.5901
Ho2 0.7500 0.5901 0.4099
# Calculated formation energy, meV per atom: 118
# Symmetry: C2/c

***

Entry 4:
# LiAg2 PBE optimized geometry
data_LiAg2
_chemical_formula_sum 'Li2 Ag4'
_cell_length_a 5.5629
_cell_length_b 5.5629
_cell_length_c 6.8547
_cell_angle_alpha 73.34
_cell_angle_beta 73.34
_cell_angle_gamma 30.28
_space_group_name_H-M_alt 'P 1'
_space_group_IT_number 1
loop_
_space_group_symop_operation_xyz
'x,y,z'
loop_
_atom_site_label
_atom_site_fract_x
_atom_site_fract_y
_atom_site_fract_z
Ag1 0.0101 0.0101 0.9892
Ag2 0.3305 0.3305 0.3377
Ag3 0.6139 0.6139 0.2734
Ag4 0.9344 0.9344 0.6219
Li1 0.6586 0.6586 0.6556
Li2 0.2858 0.2858 0.9555
# Energy above the lowest structure with this stoichiometry, meV per atom: 21
# Calculated formation energy, meV per atom: -139
# Symmetry: C2/m

***

Entry 5:
# YCd2Re PBE optimized geometry
data_YCd2Re
_chemical_formula_sum 'Y1 Cd2 Re1'
_cell_length_a 2.9873
_cell_length_b 2.9873
_cell_length_c 9.1725
_cell_angle_alpha 90.00
_cell_angle_beta 90.00
_cell_angle_gamma 90.00
_space_group_name_H-M_alt 'P 1'
_space_group_IT_number 1
loop_
_space_group_symop_operation_xyz
'x,y,z'
loop_
_atom_site_label
_atom_site_fract_x
_atom_site_fract_y
_atom_site_fract_z
Cd1 0.0000 0.0000 0.0237
Cd2 0.0000 0.0000 0.4763
Re1 0.5000 0.5000 0.2500
Y1 0.5000 0.5000 0.7500
# Energy above the lowest structure with this stoichiometry, meV per atom: 202
# Calculated formation energy, meV per atom: 443
# Symmetry: P4/mmm

***

Entry 6:
# KPrSe2O8 PBE optimized geometry
data_KPrSe2O8
_chemical_formula_sum 'K1 Pr1 Se2 O8'
_cell_length_a 5.7649
_cell_length_b 5.7649
_cell_length_c 8.1484
_cell_angle_alpha 90.00
_cell_angle_beta 90.00
_cell_angle_gamma 120.00
_space_group_name_H-M_alt 'P 1'
_space_group_IT_number 1
loop_
_space_group_symop_operation_xyz
'x,y,z'
loop_
_atom_site_label
_atom_site_fract_x
_atom_site_fract_y
_atom_site_fract_z
K1 0.0000 0.0000 0.0000
Pr1 0.0000 0.0000 0.5000
Se1 0.6667 0.3333 0.2391
Se2 0.3333 0.6667 0.7609
O1 0.3333 0.6667 0.9620
O2 0.3579 0.2298 0.3132
O3 0.7702 0.1281 0.3132
O4 0.6667 0.3333 0.0380
O5 0.2298 0.8719 0.6868
O6 0.6421 0.7702 0.6868
O7 0.1281 0.3579 0.6868
O8 0.8719 0.6421 0.3132
# Energy above the lowest structure with this stoichiometry, meV per atom: 37
# Symmetry: P-3

***

Entry 7:
# Ca2In4Pb3 PBE optimized geometry
data_Ca2In4Pb3
_chemical_formula_sum 'Ca2 In4 Pb3'
_cell_length_a 5.8914
_cell_length_b 6.0801
_cell_length_c 8.7018
_cell_angle_alpha 85.16
_cell_angle_beta 100.93
_cell_angle_gamma 61.48
_space_group_name_H-M_alt 'P 1'
_space_group_IT_number 1
loop_
_space_group_symop_operation_xyz
'x,y,z'
loop_
_atom_site_label
_atom_site_fract_x
_atom_site_fract_y
_atom_site_fract_z
Ca1 0.8197 0.4539 0.6715
Ca2 0.1803 0.5461 0.3285
In1 0.3394 0.3399 0.9950
In2 0.8544 0.2012 0.3326
In3 0.1456 0.7988 0.6674
In4 0.6606 0.6601 0.0050
Pb1 0.5111 0.8972 0.3190
Pb2 0.0000 0.0000 0.0000
Pb3 0.4889 0.1028 0.6810
# Calculated formation energy, meV per atom: -211
# Symmetry: P-1

***

Entry 8:
# SrRhI2 PBE optimized geometry
data_SrRhI2
_chemical_formula_sum 'Sr2 Rh2 I4'
_cell_length_a 6.0148
_cell_length_b 6.0148
_cell_length_c 9.1352
_cell_angle_alpha 70.78
_cell_angle_beta 70.78
_cell_angle_gamma 90.00
_space_group_name_H-M_alt 'P 1'
_space_group_IT_number 1
loop_
_space_group_symop_operation_xyz
'x,y,z'
loop_
_atom_site_label
_atom_site_fract_x
_atom_site_fract_y
_atom_site_fract_z
I1 0.6950 0.1250 0.2500
I2 0.0550 0.6250 0.2500
I3 0.3750 0.3050 0.7500
I4 0.8750 0.9450 0.7500
Sr1 0.5000 0.5000 0.0000
Sr2 0.2500 0.7500 0.5000
Rh1 0.0000 0.0000 0.0000
Rh2 0.7500 0.2500 0.5000
# Energy above the lowest structure with this stoichiometry, meV per atom: 0
# Symmetry: I-42d

***

Entry 9:
# Tc2Pt6Rh PBE optimized geometry
data_Tc2Pt6Rh
_chemical_formula_sum 'Tc2 Pt6 Rh1'
_cell_length_a 2.7602
_cell_length_b 6.2502
_cell_length_c 8.3179
_cell_angle_alpha 102.78
_cell_angle_beta 90.00
_cell_angle_gamma 102.76
_space_group_name_H-M_alt 'P 1'
_space_group_IT_number 1
loop_
_space_group_symop_operation_xyz
'x,y,z'
loop_
_atom_site_label
_atom_site_fract_x
_atom_site_fract_y
_atom_site_fract_z
Tc1 0.6672 0.3344 0.2212
Tc2 0.3328 0.6656 0.7788
Pt1 0.3317 0.6635 0.1072
Pt2 0.6683 0.3365 0.8928
Pt3 0.6696 0.3392 0.5589
Pt4 0.0047 0.0094 0.3290
Pt5 0.9953 0.9906 0.6710
Pt6 0.3304 0.6608 0.4411
Rh1 0.0000 0.0000 0.0000
# Calculated formation energy, meV per atom: -113
# Symmetry: C2/m

***

Entry 10:
# HfTiRh PBE optimized geometry
data_HfTiRh
_chemical_formula_sum 'Hf2 Ti2 Rh2'
_cell_length_a 3.0045
_cell_length_b 5.0122
_cell_length_c 7.0712
_cell_angle_alpha 90.00
_cell_angle_beta 90.00
_cell_angle_gamma 90.00
_space_group_name_H-M_alt 'P 1'
_space_group_IT_number 1
loop_
_space_group_symop_operation_xyz
'x,y,z'
loop_
_atom_site_label
_atom_site_fract_x
_atom_site_fract_y
_atom_site_fract_z
Hf1 0.5000 0.7500 0.8417
Hf2 0.5000 0.2500 0.1583
Ti1 0.0000 0.5000 0.5000
Ti2 0.0000 0.0000 0.5000
Rh1 0.0000 0.2500 0.8341
Rh2 0.0000 0.7500 0.1659
# Energy above the lowest structure with this stoichiometry, meV per atom: 203
# Calculated formation energy, meV per atom: -400
# Symmetry: Pmma

***

Entry 11:
# Mo2C PBE optimized geometry
data_Mo2C
_chemical_formula_sum 'Mo4 C2'
_cell_length_a 5.0544
_cell_length_b 5.0544
_cell_length_c 5.0544
_cell_angle_alpha 60.00
_cell_angle_beta 60.00
_cell_angle_gamma 60.00
_space_group_name_H-M_alt 'P 1'
_space_group_IT_number 1
loop_
_space_group_symop_operation_xyz
'x,y,z'
loop_
_atom_site_label
_atom_site_fract_x
_atom_site_fract_y
_atom_site_fract_z
Mo1 0.6250 0.1250 0.1250
Mo2 0.1250 0.6250 0.1250
Mo3 0.1250 0.1250 0.6250
Mo4 0.1250 0.1250 0.1250
C1 0.5000 0.5000 0.5000
C2 0.7500 0.7500 0.7500
# Calculated formation energy, meV per atom: 2336
# Symmetry: Fd-3m

***

Entry 12:
# TbPmEr4 PBE optimized geometry
data_TbPmEr4
_chemical_formula_sum 'Tb1 Pm1 Er4'
_cell_length_a 6.5588
_cell_length_b 6.5588
_cell_length_c 6.5588
_cell_angle_alpha 60.00
_cell_angle_beta 60.00
_cell_angle_gamma 60.00
_space_group_name_H-M_alt 'P 1'
_space_group_IT_number 1
loop_
_space_group_symop_operation_xyz
'x,y,z'
loop_
_atom_site_label
_atom_site_fract_x
_atom_site_fract_y
_atom_site_fract_z
Pm1 0.2500 0.2500 0.2500
Tb1 0.0000 0.0000 0.0000
Er1 0.6254 0.6254 0.1238
Er2 0.6254 0.1238 0.6254
Er3 0.6254 0.6254 0.6254
Er4 0.1238 0.6254 0.6254
# Energy above the lowest structure with this stoichiometry, meV per atom: 30
# Calculated formation energy, meV per atom: 284
# Symmetry: F-43m

***

Number 1: final energy -2.08 eV per atom. Number 2: final energy -7.01 eV per atom. Number 3: final energy -5.64 eV per atom. Number 4: final energy -2.68 eV per atom. Number 5: final energy -4.74 eV per atom. Number 6: final energy -5.88 eV per atom. Number 7: final energy -3.11 eV per atom. Number 8: final energy -3.49 eV per atom. Number 9: final energy -7.26 eV per atom. Number 10: final energy -8.80 eV per atom. Number 11: final energy -7.96 eV per atom. Number 12: final energy -4.32 eV per atom.